Entry 1:
Material: PmNdDy3Y
Method: DFT, PBE
State: relaxed

Geometry as extended XYZ:
```
12
Lattice="2.9704 -5.5824 0.0000 2.9704 5.5824 0.0000 0.0000 0.0000 11.8938" Properties=species:S:1:pos:R:3 pbc="T T T"
Pm 2.9704 5.5707 8.9203
Pm 2.9704 -5.5707 2.9734
Nd 2.9704 0.0000 0.0000
Nd 2.9704 0.0000 5.9469
Dy 2.9704 3.6687 0.0147
Dy 2.9704 3.6687 5.9322
Dy 2.9704 1.9096 2.9734
Dy 2.9704 -1.9096 8.9203
Dy 2.9704 -3.6687 5.9616
Dy 2.9704 -3.6687 11.8791
Y 2.9704 1.9175 8.9203
Y 2.9704 -1.9175 2.9734
```

Summary:
crystal system	orthorhombic
formation energy	115	meV per atom
spin magnetization	0.0	μB per cell

=====

Entry 2:
Material: Cu2SiBr
Method: DFT, PBE
State: relaxed

Geometry as extended XYZ:
```
4
Lattice="0.0000 3.2716 3.2716 3.2716 0.0000 3.2716 3.2716 3.2716 0.0000" Properties=species:S:1:pos:R:3 pbc="T T T"
Cu 0.0000 0.0000 0.0000
Cu 1.6358 1.6358 1.6358
Si 3.2716 3.2716 3.2716
Br 4.9075 4.9075 4.9075
```

Summary:
crystal system	cubic
ΔE to the lowest computed polymorph	883	meV per atom
uncorrected formation energy	808	meV/atom
spin magnetization	0.0	μB per cell

=====

Entry 3:
Material: BPtSe2Br
Method: DFT, PBE
State: relaxed

Geometry as extended XYZ:
```
5
Lattice="4.9385 0.0000 0.0000 0.0000 4.9385 0.0000 0.0000 0.0000 5.2755" Properties=species:S:1:pos:R:3 pbc="T T T"
B 0.0000 0.0000 0.0000
Pt 2.4692 2.4692 2.6377
Se 0.0000 2.4692 2.6377
Se 2.4692 0.0000 2.6377
Br 2.4692 2.4692 0.0000
```

Summary:
crystal system	tetragonal
ΔE to the lowest computed polymorph	181	meV per atom
uncorrected formation energy	1183	meV/atom
spin magnetization	0.6	μB per cell

=====

Entry 4:
Material: La3N2F2
Method: DFT, PBE
State: relaxed

Geometry as extended XYZ:
```
7
Lattice="6.7183 -1.8664 0.0000 6.7183 1.8664 0.0000 -3.0839 0.0000 5.7956" Properties=species:S:1:pos:R:3 pbc="T T T"
La 0.0000 0.0000 0.0000
La 3.3804 0.0000 1.5469
La 6.9723 0.0000 4.2487
N -0.7923 0.0000 5.2078
N 11.1450 0.0000 0.5878
F 2.5780 0.0000 4.0120
F 7.7748 0.0000 1.7836
```

Summary:
crystal system	monoclinic
uncorrected formation energy	-2219	meV/atom
spin magnetization	0.4	μB per cell

=====

Entry 5:
Material: SeF
Method: DFT, PBE
State: relaxed

Geometry as extended XYZ:
```
8
Lattice="-3.9534 3.9534 3.9534 3.9534 -3.9534 3.9534 3.9534 3.9534 -3.9534" Properties=species:S:1:pos:R:3 pbc="T T T"
Se 0.8963 0.8963 -0.8963
Se 0.8963 -0.8963 0.8963
Se -0.8963 0.8963 0.8963
Se 3.0571 3.0571 3.0571
F 2.0341 2.0341 -2.0341
F 2.0341 -2.0341 2.0341
F 1.9193 1.9193 1.9193
F -2.0341 2.0341 2.0341
```

Summary:
crystal system	cubic
ΔE to the lowest computed polymorph	280	meV per atom
uncorrected formation energy	-784	meV/atom
spin magnetization	0.0	μB per cell

=====

Entry 6:
Material: Rb3La2PaSe6
Method: DFT, PBE
State: relaxed

Geometry as extended XYZ:
```
12
Lattice="3.8088 -6.5948 0.0000 3.8088 6.5948 0.0000 -2.5428 0.0000 8.0262" Properties=species:S:1:pos:R:3 pbc="T T T"
Rb 0.0000 0.0000 0.0000
Rb 3.8088 2.2315 0.0000
Rb 3.8088 -2.2315 0.0000
La 2.5374 4.3996 4.0131
La 2.5374 -4.3996 4.0131
Pa 2.5374 0.0000 4.0131
Se 1.3164 2.1153 2.3957
Se 0.0964 0.0000 5.6344
Se 1.3164 -2.1153 2.3957
Se 3.7584 2.1153 5.6305
Se 4.9784 0.0000 2.3917
Se 3.7584 -2.1153 5.6305
```

Summary:
crystal system	monoclinic
uncorrected formation energy	-1620	meV/atom
spin magnetization	1.9	μB per cell

=====

Entry 7:
Material: Ca2LaCl
Method: DFT, PBE
State: relaxed

Geometry as extended XYZ:
```
4
Lattice="0.0000 4.2206 4.2206 4.2206 0.0000 4.2206 4.2206 4.2206 0.0000" Properties=species:S:1:pos:R:3 pbc="T T T"
Ca 2.1103 2.1103 2.1103
Ca 6.3309 6.3309 6.3309
La 0.0000 0.0000 0.0000
Cl 4.2206 4.2206 4.2206
```

Summary:
crystal system	cubic
ΔE to the lowest computed polymorph	840	meV per atom
uncorrected formation energy	30	meV/atom
spin magnetization	2.1	μB per cell

=====

Entry 8:
Material: PuNpPdAu
Method: DFT, PBE
State: relaxed

Geometry as extended XYZ:
```
4
Lattice="0.0000 3.5687 3.5687 3.5687 0.0000 3.5687 3.5687 3.5687 0.0000" Properties=species:S:1:pos:R:3 pbc="T T T"
Pu 0.0000 0.0000 0.0000
Np 3.5687 3.5687 3.5687
Pd 5.3531 5.3531 5.3531
Au 1.7844 1.7844 1.7844
```

Summary:
crystal system	cubic
formation energy	-167	meV per atom
spin magnetization	10.2	μB per cell

=====

Entry 9:
Material: Ba2ReMo
Method: DFT, PBE
State: relaxed

Geometry as extended XYZ:
```
8
Lattice="-6.1585 6.1585 2.3456 6.1585 -6.1585 2.3456 6.1585 6.1585 -2.3456" Properties=species:S:1:pos:R:3 pbc="T T T"
Ba 0.8809 3.0792 0.5864
Ba -3.0792 5.2775 1.7592
Ba -0.8809 9.2377 0.5864
Ba 3.0792 7.0394 1.7592
Re 0.0000 0.0000 0.0000
Re 0.0000 6.1585 1.1728
Mo 6.1585 0.0000 1.1728
Mo 0.0000 0.0000 2.3456
```

Summary:
crystal system	tetragonal
formation energy	1193	meV per atom
ΔE to the lowest computed polymorph	691	meV per atom
spin magnetization	2.7	μB per cell

=====

Entry 10:
Material: Mn3I7Br
Method: DFT, PBE
State: relaxed

Geometry as extended XYZ:
```
11
Lattice="8.0270 0.0000 0.0000 -4.0135 6.9516 0.0000 0.0000 0.0000 7.4589" Properties=species:S:1:pos:R:3 pbc="T T T"
Mn 0.0000 2.3421 0.0000
Mn -1.9852 5.7805 0.0000
Mn 1.9852 5.7805 0.0000
I 0.0000 0.0000 5.6688
I -1.9475 3.5100 5.8733
I 1.9510 1.1264 1.5527
I 1.9475 3.5100 5.8733
I 0.0000 6.8832 5.8733
I 6.0760 1.1264 1.5527
I 4.0135 4.6987 1.5527
Br 0.0000 4.6344 1.5334
```

Summary:
crystal system	trigonal
uncorrected formation energy	-376	meV/atom
spin magnetization	13.0	μB per cell

=====

Entry 11:
Material: Ni3MoPt4
Method: DFT, PBE
State: relaxed

Geometry as extended XYZ:
```
8
Lattice="-1.4148 2.2549 8.8662 1.4148 -2.2549 8.8662 1.4148 2.2549 -8.8662" Properties=species:S:1:pos:R:3 pbc="T T T"
Ni 0.0000 0.0000 0.0000
Ni 0.0000 0.0000 4.2190
Ni 0.0000 0.0000 13.5133
Mo 0.0000 0.0000 8.8662
Pt 1.4148 0.0000 2.0623
Pt 1.4148 0.0000 6.4298
Pt 0.0000 2.2549 2.4364
Pt 0.0000 2.2549 6.8039
```

Summary:
crystal system	orthorhombic
formation energy	19	meV per atom
ΔE to the lowest computed polymorph	190	meV per atom
spin magnetization	0.7	μB per cell

=====

Entry 12:
Material: Zr2ScCu
Method: DFT, PBE
State: relaxed

Geometry as extended XYZ:
```
8
Lattice="0.0000 3.2188 7.8689 3.2123 0.0000 7.8689 3.2123 3.2188 0.0000" Properties=species:S:1:pos:R:3 pbc="T T T"
Zr 1.6061 1.6094 0.0000
Zr 3.2123 3.2188 2.1867
Zr 1.6061 1.6094 7.8689
Zr 3.2123 3.2188 13.5512
Sc 3.2123 3.2188 5.6266
Sc 3.2123 3.2188 10.1112
Cu 1.6061 1.6094 3.9345
Cu 4.8184 4.8282 11.8034
```

Summary:
crystal system	orthorhombic
formation energy	-115	meV per atom
ΔE to the lowest computed polymorph	0	meV per atom
spin magnetization	0.0	μB per cell